[1]
Entry from Alexandria: a relaxed structure of CaSc2Be (PBEsol).

a b c (Å): 4.445 4.445 4.414
angles (deg): 90.00 90.00 90.00
Space group P4/mmm (No. 123)
Unique sites:
1 Ca 0.000 0.000 0.000
2 Sc 0.000 0.500 0.500
3 Be 0.500 0.500 0.000

Results
The formation energy is 0.357 eV per atom.



[2]
Entry from Alexandria: a relaxed structure of CaSc2Be (PBEsol).

a b c (Å): 3.3328 3.3328 29.7211
angles (deg): 90.00 90.00 120.00
Space group R-3m (No. 166, hexagonal axes)
Unique sites:
1 Ca 0.0000 0.0000 0.0000
2 Sc 0.0000 0.0000 0.1076
3 Be 0.0000 0.0000 0.5000

Results
The formation energy is 0.367 eV per atom.



[3]
Entry from Alexandria: a relaxed structure of Ca2ScBe (PBEsol).

a b c (Å): 3.445 5.363 11.364
angles (deg): 90.00 90.00 90.00
Space group Imm2 (No. 44)
Unique sites:
1 Ca 0.000 0.000 0.000
2 Ca 0.000 0.500 0.201
3 Sc 0.000 0.500 0.810
4 Be 0.000 0.000 0.485

Results
The formation energy is 0.292 eV per atom.



[4]
Entry from Alexandria: a relaxed structure of CaSc2Be (PBEsol).

a b c (Å): 6.031 10.593 3.139
angles (deg): 90.00 116.47 90.00
Space group C2/m (No. 12)
Unique sites:
1 Ca 0.000 0.000 0.000
2 Sc 0.250 0.250 0.500
3 Be 0.000 0.500 0.000

Results
The formation energy is 0.474 eV per atom.



[5]
Entry from Alexandria: a relaxed structure of CaBe2Se (PBEsol).

a b c (Å): 3.284 4.444 9.620
angles (deg): 90.00 90.00 90.00
Space group Immm (No. 71)
Unique sites:
1 Ca 0.000 0.000 0.000
2 Be 0.000 0.500 0.214
3 Se 0.000 0.000 0.500

Results
The value obtained for the total energy is -27.123 eV for the cell shown.



[6]
Entry from Alexandria: a relaxed structure of Ca3BeSe (PBEsol).

a b c (Å): 5.289 5.289 5.289
angles (deg): 90.00 90.00 90.00
Space group Pm-3m (No. 221)
Unique sites:
1 Ca 0.000 0.000 0.500
2 Be 0.000 0.000 0.000
3 Se 0.500 0.500 0.500

Results
The value obtained for the total energy is -14.885 eV for the cell shown.